Density functional theory data (PBE) for a relaxed GaCuBr6 crystal.

Cell lengths 5.8214, 6.9643, 7.6919 Å; angles 65.84, 74.39, 85.56 degrees
Last column: nearest neighbours and their distance in Å.
Fractional positions:
Ga1 0.0000 0.0000 0.0000  2 Br 2.36
Cu1 0.5000 0.5000 0.0000  4 Br 2.35-2.38
Br1 0.0584 0.8248 0.3190  1 Ga 2.36
Br2 0.2719 0.3619 0.8597  1 Cu 2.38
Br3 0.3856 0.8383 0.8157  1 Cu 2.35
Br4 0.6144 0.1617 0.1843  1 Cu 2.35
Br5 0.7281 0.6381 0.1403  1 Cu 2.38
Br6 0.9416 0.1752 0.6810  1 Ga 2.36

Properties
ΔE_f (raw): -0.377 eV/atom
space-group type: P-1, No. 2
spin magnetization: 0.00 Bohr magnetons per cell